The following is a PBE-GGA calculation of a relaxed structure of Y5Ho5Bi6, from the Alexandria database.

Computed properties:
Calculated density = 9012 kg/m3
Size of the total moment = 0.01 μB per cell
Formation energy = -703 meV/atom
E_tot = -5.609 eV/atom
Space-group type = Amm2, No. 38

Geometry as POSCAR:
```
Y5Ho5Bi6
1.0
6.3815 0.0000 0.0000
0.0000 7.9377 4.5890
0.0000 -7.9377 4.5890
Y Ho Bi
5 5 6
Direct
0.0000 0.0000 0.0000
0.0000 0.5101 0.7542
0.0000 0.7542 0.5101
0.5000 0.7544 0.9986
0.5000 0.9986 0.7544
0.2500 0.0875 0.4211
0.2500 0.4211 0.0875
0.5000 0.5098 0.5098
0.7500 0.0875 0.4211
0.7500 0.4211 0.0875
0.0000 0.1439 0.7544
0.0000 0.3650 0.3650
0.0000 0.7544 0.1439
0.5000 0.1446 0.1446
0.5000 0.3650 0.7538
0.5000 0.7538 0.3650
```